The following is a PBE+U calculation of crystalline Tl3Mo5O12 at its relaxed geometry, from Alexandria.

Computed properties:
For the total magnetization, the calculation gives 9.00 μB/f.u. Its crystal system is cubic. As for the raw total energy: -6.469 eV per atom.

Structure (POSCAR):
```
Tl3Mo5O12
1.0
-6.892 6.892 6.892
6.892 -6.892 6.892
6.892 6.892 -6.892
Tl Mo O
12 20 48
Cartesian
3.446 1.723 0.000
6.892 3.446 -1.723
1.723 0.000 3.446
8.616 0.000 3.446
0.000 3.446 1.723
3.446 -1.723 6.892
3.446 8.616 0.000
6.892 3.446 5.169
-1.723 6.892 3.446
5.169 6.892 3.446
0.000 3.446 8.616
3.446 5.169 6.892
0.000 0.000 0.000
3.446 3.446 -3.446
3.446 -3.446 3.446
6.892 0.000 0.000
10.339 1.723 0.000
6.892 -3.446 5.169
5.169 6.892 -3.446
5.169 0.000 3.446
3.446 5.169 0.000
6.892 3.446 1.723
-3.446 3.446 3.446
0.000 6.892 0.000
0.000 0.000 6.892
3.446 3.446 3.446
0.000 3.446 5.169
3.446 1.723 6.892
1.723 6.892 3.446
1.723 0.000 10.339
0.000 10.339 1.723
-3.446 5.169 6.892
5.499 -3.950 4.009
11.733 0.563 -0.504
8.945 0.563 0.504
8.286 -2.942 4.009
9.835 2.883 -1.394
7.396 -4.840 6.330
4.009 5.499 -3.950
6.330 -0.504 2.052
6.330 7.396 -4.840
4.009 -1.394 3.950
3.950 4.009 -1.394
6.388 2.052 0.563
10.843 2.883 1.394
6.388 -2.052 6.330
6.330 6.388 -2.052
4.009 1.394 2.942
4.009 8.286 -2.942
6.330 0.504 4.840
2.942 4.009 1.394
7.396 4.840 0.563
2.052 6.330 -0.504
8.286 2.942 2.883
4.840 6.330 0.504
5.499 3.950 2.883
1.394 2.942 4.009
2.052 0.563 6.388
-1.394 3.950 4.009
4.840 0.563 7.396
-0.504 2.052 6.330
3.950 2.883 5.499
0.563 6.388 2.052
2.883 -1.394 9.835
2.883 5.499 3.950
0.563 0.504 8.945
0.504 8.945 0.563
-3.950 4.009 5.499
0.504 4.840 6.330
2.942 2.883 8.286
2.883 8.286 2.942
0.563 -0.504 11.733
0.563 7.396 4.840
2.883 1.394 10.843
-0.504 11.733 0.563
-2.942 4.009 8.286
-1.394 9.835 2.883
-2.052 6.330 6.388
-4.840 6.330 7.396
1.394 10.843 2.883
```